Entry 1:
First-principles (PBE-GGA) data for a relaxed structure of NaUPdS4, as listed in the Alexandria database.

Space group: P2_1/m, No. 11
ΔE_f (raw), eV/atom: -0.89

a b c (Å): 6.835 5.373 8.887
angles (deg): 90.00 114.44 90.00
Each line ends with the local moment (μB).
Element x y z (fractional)
Na: 0.688 0.750 0.959  0.00
Na: 0.312 0.250 0.041  0.00
U: 0.721 0.750 0.444  0.66
U: 0.279 0.250 0.556  0.66
S: 0.067 0.973 0.707  -0.03
S: 0.572 0.250 0.852  -0.04
S: 0.933 0.027 0.293  -0.03
S: 0.428 0.750 0.148  -0.04
S: 0.440 0.750 0.582  -0.05
S: 0.560 0.250 0.418  -0.05
S: 0.933 0.473 0.293  -0.03
S: 0.067 0.527 0.707  -0.03
Pd: 0.797 0.250 0.706  -0.07
Pd: 0.203 0.750 0.294  -0.07


Entry 2:
First-principles (PBE-GGA) data for a relaxed structure of NaU4Pd3S12, as listed in the Alexandria database.

Space group: Im-3, No. 204
ΔE_f (raw), eV/atom: -0.92

a b c (Å): 8.419 8.419 8.419
angles (deg): 109.47 109.47 109.47
Each line ends with the local moment (μB).
Element x y z (fractional)
S: 0.686 0.838 0.524  -0.05
S: 0.838 0.151 0.314  -0.05
S: 0.524 0.686 0.838  -0.05
S: 0.314 0.838 0.151  -0.05
S: 0.686 0.162 0.849  -0.05
S: 0.151 0.314 0.838  -0.05
S: 0.314 0.162 0.476  -0.05
S: 0.476 0.314 0.162  -0.05
S: 0.162 0.476 0.314  -0.05
S: 0.838 0.524 0.686  -0.05
S: 0.162 0.849 0.686  -0.05
S: 0.849 0.686 0.162  -0.05
Pd: 0.000 0.500 0.500  0.13
Pd: 0.500 0.000 0.500  0.13
Pd: 0.500 0.500 0.000  0.13
U: 0.000 0.500 0.000  1.67
U: 0.500 0.000 0.000  1.67
U: 0.000 0.000 0.500  1.67
U: 0.500 0.500 0.500  1.67
Na: 0.000 0.000 0.000  0.00


Entry 3:
First-principles (PBE-GGA) data for a relaxed structure of Na3UPd2S6, as listed in the Alexandria database.

Space group: C2/m, No. 12
ΔE_f (raw), eV/atom: -0.90

a b c (Å): 6.351 6.351 7.120
angles (deg): 98.46 98.46 120.17
Element x y z (fractional)
S: 0.263 0.263 0.782
S: 0.926 0.590 0.783
S: 0.737 0.737 0.218
S: 0.590 0.926 0.783
S: 0.074 0.410 0.217
S: 0.410 0.074 0.217
Pd: 0.334 0.666 0.000
Pd: 0.666 0.334 0.000
U: 0.000 0.000 0.000
Na: 0.832 0.168 0.500
Na: 0.500 0.500 0.500
Na: 0.168 0.832 0.500


Entry 4:
First-principles (PBE-GGA) data for a relaxed structure of Na3U2PdS6, as listed in the Alexandria database.

Space group: C2/m, No. 12
ΔE_f (raw), eV/atom: -1.17

a b c (Å): 6.727 6.727 7.054
angles (deg): 99.12 99.12 119.92
Each line ends with the local moment (μB).
Element x y z (fractional)
Pd: 0.000 0.000 0.000  -0.29
Na: 0.840 0.160 0.500  0.00
Na: 0.500 0.500 0.500  0.00
Na: 0.160 0.840 0.500  0.00
S: 0.730 0.730 0.226  -0.07
S: 0.924 0.579 0.773  -0.07
S: 0.421 0.076 0.227  -0.07
S: 0.579 0.924 0.773  -0.07
S: 0.076 0.421 0.227  -0.07
S: 0.270 0.270 0.774  -0.07
U: 0.667 0.333 0.000  1.76
U: 0.333 0.667 0.000  1.76


Entry 5:
First-principles (PBE-GGA) data for a relaxed structure of NaU2Pd2S4, as listed in the Alexandria database.

Space group: C2/m, No. 12
ΔE_f (raw), eV/atom: -0.99

a b c (Å): 3.616 7.256 7.250
angles (deg): 112.26 90.00 104.43
Each line ends with the local moment (μB).
Element x y z (fractional)
U: 0.868 0.736 0.418  2.36
U: 0.132 0.264 0.582  2.36
S: 0.516 0.032 0.714  -0.08
S: 0.210 0.419 0.275  -0.07
S: 0.484 0.968 0.286  -0.08
S: 0.790 0.581 0.725  -0.07
Pd: 0.322 0.645 0.987  -0.07
Pd: 0.678 0.355 0.013  -0.07
Na: 0.000 0.000 0.000  0.00


Entry 6:
First-principles (PBE-GGA) data for a relaxed structure of NaUPdS3, as listed in the Alexandria database.

Space group: P2_1/m, No. 11
ΔE_f (raw), eV/atom: -1.09

a b c (Å): 3.948 8.072 8.711
angles (deg): 103.72 90.00 90.00
Each line ends with the local moment (μB).
Element x y z (fractional)
S: 0.750 0.891 0.142  -0.06
S: 0.250 0.109 0.858  -0.06
S: 0.250 0.559 0.848  -0.06
S: 0.750 0.441 0.152  -0.06
S: 0.750 0.257 0.526  -0.06
S: 0.250 0.743 0.474  -0.06
U: 0.750 0.320 0.831  1.62
U: 0.250 0.680 0.169  1.62
Pd: 0.750 0.888 0.435  -0.08
Pd: 0.250 0.112 0.565  -0.08
Na: 0.250 0.189 0.231  0.00
Na: 0.750 0.811 0.769  0.00


Entry 7:
First-principles (PBE-GGA) data for a relaxed structure of Na2U2PdS6, as listed in the Alexandria database.

Space group: C2/m, No. 12
ΔE_f (raw), eV/atom: -1.13

a b c (Å): 6.815 6.815 7.057
angles (deg): 97.78 97.78 122.85
Each line ends with the local moment (μB).
Element x y z (fractional)
S: 0.572 0.938 0.277  -0.07
S: 0.428 0.062 0.723  -0.07
S: 0.742 0.742 0.708  -0.07
S: 0.938 0.572 0.277  -0.07
S: 0.258 0.258 0.292  -0.07
S: 0.062 0.428 0.723  -0.07
Na: 0.844 0.156 0.000  0.00
Na: 0.156 0.844 0.000  0.00
U: 0.662 0.338 0.500  1.35
U: 0.338 0.662 0.500  1.35
Pd: 0.000 0.000 0.500  -0.32


Entry 8:
First-principles (PBE-GGA) data for a relaxed structure of Na4Zr3PdS8, as listed in the Alexandria database.

Space group: C2/m, No. 12
ΔE_f (raw), eV/atom: -1.28

a b c (Å): 7.376 7.966 7.565
angles (deg): 118.16 119.18 90.00
Each line ends with the local moment (μB).
Element x y z (fractional)
S: 0.738 0.723 0.476  0.00
S: 0.257 0.732 0.514  0.01
S: 0.231 0.711 0.973  0.02
S: 0.262 0.277 0.524  0.00
S: 0.769 0.289 0.027  0.02
S: 0.742 0.711 0.973  0.02
S: 0.258 0.289 0.027  0.02
S: 0.743 0.268 0.486  0.01
Na: 0.000 0.000 0.500  0.00
Na: 0.500 0.000 0.500  0.00
Na: 0.500 0.000 0.000  0.00
Na: 0.000 0.000 0.000  0.00
Zr: 0.000 0.500 0.500  0.03
Zr: 0.500 0.500 0.500  0.03
Zr: 0.500 0.500 0.000  0.00
Pd: 0.000 0.500 0.000  0.21


Entry 9:
First-principles (PBE-GGA) data for a relaxed structure of Na2Zr2PdS6, as listed in the Alexandria database.

Space group: C2/m, No. 12
ΔE_f (raw), eV/atom: -1.18

a b c (Å): 6.400 6.400 7.099
angles (deg): 97.90 97.90 119.92
Element x y z (fractional)
S: 0.083 0.423 0.724
S: 0.252 0.252 0.305
S: 0.577 0.917 0.276
S: 0.423 0.083 0.724
S: 0.748 0.748 0.695
S: 0.917 0.577 0.276
Zr: 0.676 0.324 0.500
Zr: 0.324 0.676 0.500
Na: 0.841 0.159 0.000
Na: 0.159 0.841 0.000
Pd: 0.000 0.000 0.500


Entry 10:
First-principles (PBE-GGA) data for a relaxed structure of NaSbPd, as listed in the Alexandria database.

Space group: P-6m2, No. 187
ΔE_f (raw), eV/atom: -0.36

a b c (Å): 3.359 4.686 4.686
angles (deg): 120.00 90.00 90.00
Element x y z (fractional)
Pd: 0.167 0.667 0.333
Sb: 0.167 0.000 0.000
Na: 0.667 0.333 0.667